Record 1
The following is a DFT calculation (PBE) of a geometry-optimized PbSNF2 structure.

Calculated values
- total magnetization (μB per cell) = 0.00
- energy above the lowest structure with this stoichiometry (meV/atom) = 0.0

Structure (POSCAR):
```
PbSNF2
1.0
4.9050 0.0000 0.0000
0.0000 4.9050 0.0000
0.0000 0.0000 3.2945
Pb S N F
1 1 1 2
Direct
0.0000 0.0000 0.0000
0.5000 0.5000 0.5000
0.5000 0.5000 0.0000
0.0000 0.5000 0.5000
0.5000 0.0000 0.5000
```



Record 2
The following is a DFT calculation (PBE) of a geometry-optimized PbS2NF structure.

Calculated values
- total magnetization (μB per cell) = 4.44
- energy above the lowest structure with this stoichiometry (meV/atom) = 225.8

Structure (POSCAR):
```
PbS2NF
1.0
5.3185 0.0000 0.0000
0.0000 5.3185 0.0000
0.0000 0.0000 4.5361
Pb S N F
1 2 1 1
Direct
0.0000 0.0000 0.0000
0.0000 0.5000 0.0000
0.5000 0.0000 0.0000
0.0000 0.0000 0.5000
0.5000 0.5000 0.5000
```



Record 3
The following is a DFT calculation (PBE) of a geometry-optimized PbS2NF structure.

Calculated values
- total magnetization (μB per cell) = 2.31
- energy above the lowest structure with this stoichiometry (meV/atom) = 0.0

Structure (POSCAR):
```
PbS2NF
1.0
4.2579 0.0000 0.0000
0.0000 4.2579 0.0000
0.0000 0.0000 5.0783
Pb S N F
1 2 1 1
Direct
0.0000 0.0000 0.0000
0.0000 0.5000 0.5000
0.5000 0.0000 0.5000
0.5000 0.5000 0.0000
0.5000 0.5000 0.5000
```



The calculation returns the following E_form (uncorrected) values, one per record and in order: -0.371 1.233 1.007 eV/atom.
The calculation returns the following E values, one per record and in order: -21.76 -16.00 -17.12 eV per cell.